(1)
The following is a PBE calculation of an optimized crystal structure of Rb2ZrIBr6, from the Alexandria database.

Properties
The value obtained for the total energy is -3.450 eV per atom. Its density of states at the Fermi level is 0.5653 states/eV/atom. The value obtained for the raw formation energy is -1.24 eV per atom. The density is 3.1 g/cm³. For the calculated volume, the calculation gives 462.3 Å³/f.u.

a = 8.5366 Å, b = 8.5366 Å, c = 8.7569 Å
α = 60.83°, β = 60.83°, γ = 90.00°
Last column: magnetic moment on the atom in μB.
Sites, in units of the cell vectors:
Zr 0.5000 0.5000 0.0000  0.02
Br 0.2804 0.2804 0.0000  0.05
Br 0.2804 0.7196 0.0000  0.05
Br 0.7087 0.7087 0.5825  0.01
Br 0.7196 0.7196 0.0000  0.05
Br 0.7196 0.2804 0.0000  0.05
Br 0.2913 0.2913 0.4175  0.01
Rb 0.7500 0.2500 0.5000  0.00
Rb 0.2500 0.7500 0.5000  0.00
I 0.0000 0.0000 0.0000  0.46

(2)
The following is a PBE calculation of an optimized crystal structure of Y6AlZn5, from the Alexandria database.

Properties
The value obtained for the total energy is -4.449 eV per atom. Its density of states at the Fermi level is 1.0015 states/eV/atom. The formation energy is -374 meV/atom. The density is 5.3 g/cm³. For the calculated volume, the calculation gives 277.3 Å³/f.u.

a = 5.0602 Å, b = 7.2031 Å, c = 8.0156 Å
α = 90.00°, β = 71.66°, γ = 90.00°
Sites, in units of the cell vectors:
Y 0.5000 0.7473 0.0000
Zn 0.6650 0.0000 0.6699
Zn 0.3350 0.0000 0.3301
Y 0.1676 0.7493 0.6649
Y 0.8324 0.2507 0.3351
Y 0.8324 0.7493 0.3351
Zn 0.6662 0.5000 0.6680
Zn 0.3338 0.5000 0.3320
Y 0.5000 0.2527 0.0000
Zn 0.0000 0.5000 0.0000
Al 0.0000 0.0000 0.0000
Y 0.1676 0.2507 0.6649

(3)
The following is a PBE calculation of an optimized crystal structure of SmHfCuPt, from the Alexandria database.

Properties
The value obtained for the total energy is -6.707 eV per atom. Its density of states at the Fermi level is 0.9442 states/eV/atom. The formation energy is -504 meV/atom. The density is 12.2 g/cm³. For the calculated volume, the calculation gives 80.1 Å³/f.u.

a = 4.8384 Å, b = 4.8384 Å, c = 4.8384 Å
α = 60.00°, β = 60.00°, γ = 60.00°
Sites, in units of the cell vectors:
Sm 0.2500 0.2500 0.2500
Cu 0.0000 0.0000 0.0000
Pt 0.5000 0.5000 0.5000
Hf 0.7500 0.7500 0.7500

(4)
The following is a PBE calculation of an optimized crystal structure of KBiSbTe3, from the Alexandria database.

Properties
The value obtained for the total energy is -3.459 eV per atom. Its density of states at the Fermi level is 0.2239 states/eV/atom. The value obtained for the raw formation energy is -0.37 eV per atom. The density is 5.2 g/cm³. For the calculated volume, the calculation gives 240.2 Å³/f.u.

a = 4.7629 Å, b = 9.0513 Å, c = 11.9303 Å
α = 110.91°, β = 90.00°, γ = 90.00°
Sites, in units of the cell vectors:
Te 0.2500 0.1118 0.7713
Te 0.7500 0.3417 0.5655
Te 0.2500 0.6583 0.4345
K 0.2500 0.2301 0.2683
Sb 0.2500 0.1197 0.5373
Te 0.2500 0.6237 0.8999
Te 0.7500 0.3763 0.1001
Sb 0.7500 0.8803 0.4627
Bi 0.2500 0.6249 0.1621
Te 0.7500 0.8882 0.2287
Bi 0.7500 0.3751 0.8379
K 0.7500 0.7699 0.7317

(5)
The following is a PBE calculation of an optimized crystal structure of LiAc2Ga3Au4, from the Alexandria database.

Properties
The value obtained for the total energy is -3.907 eV per atom. Its density of states at the Fermi level is 0.5371 states/eV/atom. The formation energy is -675 meV/atom. The density is 10.9 g/cm³. For the calculated volume, the calculation gives 222.2 Å³/f.u.

a = 4.6106 Å, b = 4.6106 Å, c = 10.4522 Å
α = 90.00°, β = 90.00°, γ = 90.00°
Sites, in units of the cell vectors:
Au 0.5000 0.0000 0.6227
Au 0.5000 0.5000 0.0000
Li 0.5000 0.5000 0.5000
Ga 0.0000 0.5000 0.1301
Au 0.0000 0.0000 0.0000
Ac 0.5000 0.0000 0.2481
Ac 0.0000 0.5000 0.7519
Ga 0.5000 0.0000 0.8699
Au 0.0000 0.5000 0.3773
Ga 0.0000 0.0000 0.5000

(6)
The following is a PBE calculation of an optimized crystal structure of LiLuMnNb, from the Alexandria database.

Properties
The value obtained for the total energy is -6.216 eV per atom. Its density of states at the Fermi level is 0.9304 states/eV/atom. The formation energy is 202 meV/atom. The density is 8.2 g/cm³. For the calculated volume, the calculation gives 67.1 Å³/f.u.

a = 4.5619 Å, b = 4.5619 Å, c = 4.5619 Å
α = 60.00°, β = 60.00°, γ = 60.00°
Last column: magnetic moment on the atom in μB.
Sites, in units of the cell vectors:
Lu 0.2500 0.2500 0.2500  0.04
Mn 0.5000 0.5000 0.5000  -1.28
Li 0.0000 0.0000 0.0000  0.02
Nb 0.7500 0.7500 0.7500  0.72

(7)
The following is a PBE calculation of an optimized crystal structure of PmTmAlCd, from the Alexandria database.

Properties
The value obtained for the total energy is -3.826 eV per atom. Its density of states at the Fermi level is 0.6217 states/eV/atom. The formation energy is -356 meV/atom. The density is 7.5 g/cm³. For the calculated volume, the calculation gives 101.0 Å³/f.u.

a = 3.6478 Å, b = 3.6478 Å, c = 7.5916 Å
α = 90.00°, β = 90.00°, γ = 90.00°
Sites, in units of the cell vectors:
Al 0.0000 0.0000 0.3714
Pm 0.5000 0.5000 0.1208
Tm 0.5000 0.5000 0.5970
Cd 0.0000 0.0000 0.8388

(8)
The following is a PBE calculation of an optimized crystal structure of LaPr2Er4Th, from the Alexandria database.

Properties
The value obtained for the total energy is -4.988 eV per atom. Its density of states at the Fermi level is 1.2976 states/eV/atom. The formation energy is 32 meV/atom. The density is 8.3 g/cm³. For the calculated volume, the calculation gives 263.4 Å³/f.u.

a = 5.1528 Å, b = 5.1488 Å, c = 11.1784 Å
α = 62.63°, β = 90.00°, γ = 90.00°
Sites, in units of the cell vectors:
La 0.5000 0.5000 0.0000
Pr 0.5000 0.0000 0.5000
Er 0.5000 0.2569 0.7435
Er 0.5000 0.7431 0.2565
Th 0.0000 0.5000 0.5000
Pr 0.0000 0.0000 0.0000
Er 0.0000 0.7565 0.7435
Er 0.0000 0.2435 0.2565

(9)
The following is a PBE calculation of an optimized crystal structure of Mn3Cr4, from the Alexandria database.

Properties
The value obtained for the total energy is -9.384 eV per atom. Its density of states at the Fermi level is 0.9201 states/eV/atom. The formation energy is 45 meV/atom. The density is 7.7 g/cm³. For the calculated volume, the calculation gives 80.9 Å³/f.u.

a = 2.8484 Å, b = 2.8484 Å, c = 10.1693 Å
α = 98.05°, β = 98.05°, γ = 90.00°
Last column: magnetic moment on the atom in μB.
Sites, in units of the cell vectors:
Mn 0.2896 0.2896 0.5792  1.73
Cr 0.5714 0.5714 0.1429  0.99
Cr 0.4286 0.4286 0.8571  0.99
Mn 0.0000 0.0000 0.0000  -0.77
Cr 0.1437 0.1437 0.2874  -0.94
Mn 0.7104 0.7104 0.4208  1.73
Cr 0.8563 0.8563 0.7126  -0.94

(10)
The following is a PBE calculation of an optimized crystal structure of MgAl2Mo, from the Alexandria database.

Properties
The value obtained for the total energy is -4.868 eV per atom. Its density of states at the Fermi level is 1.1099 states/eV/atom. The formation energy is 110 meV/atom. The density is 4.3 g/cm³. For the calculated volume, the calculation gives 67.9 Å³/f.u.

a = 3.4572 Å, b = 3.4572 Å, c = 5.6843 Å
α = 90.00°, β = 90.00°, γ = 90.00°
Sites, in units of the cell vectors:
Mg 0.0000 0.0000 0.5078
Al 0.0000 0.0000 0.9786
Mo 0.5000 0.5000 0.7720
Al 0.5000 0.5000 0.2417

(11)
The following is a PBE calculation of an optimized crystal structure of SrZn2GeN4, from the Alexandria database.

Properties
The value obtained for the total energy is -5.258 eV per atom. Its density of states at the Fermi level is 0.1624 states/eV/atom. The value obtained for the raw formation energy is 0.01 eV per atom. The density is 5.2 g/cm³. For the calculated volume, the calculation gives 111.8 Å³/f.u.

a = 5.5141 Å, b = 5.6282 Å, c = 7.2021 Å
α = 90.00°, β = 90.00°, γ = 90.00°
Last column: magnetic moment on the atom in μB.
Sites, in units of the cell vectors:
N 0.8495 0.3678 0.8075  0.37
Zn 0.9973 0.6946 0.2468  0.04
N 0.3442 0.2209 0.0000  0.33
Zn 0.4973 0.3054 0.7468  0.04
N 0.3495 0.6322 0.3075  0.37
N 0.8442 0.7791 0.5000  0.33
N 0.4618 0.1246 0.5000  0.29
Ge 0.0038 0.2066 0.0000  -0.01
Zn 0.9973 0.6946 0.7532  0.04
Sr 0.4966 0.7778 0.0000  0.05
N 0.3495 0.6322 0.6925  0.37
Zn 0.4973 0.3054 0.2532  0.04
N 0.8495 0.3678 0.1925  0.37
Sr 0.9966 0.2222 0.5000  0.05
N 0.9618 0.8754 0.0000  0.29
Ge 0.5038 0.7934 0.5000  -0.01

(12)
The following is a PBE calculation of an optimized crystal structure of NaDyCdBr6, from the Alexandria database.

Properties
The value obtained for the total energy is -3.328 eV per atom. Its density of states at the Fermi level is 0.0000 states/eV/atom. The value obtained for the raw formation energy is -1.45 eV per atom. The density is 4.3 g/cm³. For the calculated volume, the calculation gives 298.0 Å³/f.u.

a = 7.1679 Å, b = 7.1679 Å, c = 13.3957 Å
α = 90.00°, β = 90.00°, γ = 120.00°
Sites, in units of the cell vectors:
Br 0.6451 0.9992 0.3699
Br 0.3549 0.0008 0.6301
Na 0.0000 0.0000 0.5000
Dy 0.3333 0.6667 0.2500
Br 0.9992 0.3541 0.6301
Br 0.3541 0.9992 0.1301
Br 0.6459 0.0008 0.8699
Cd 0.3333 0.6667 0.7500
Br 0.0008 0.6459 0.3699
Br 0.6451 0.6459 0.1301
Na 0.0000 0.0000 0.0000
Br 0.9992 0.6451 0.8699
Br 0.3549 0.3541 0.8699
Br 0.6459 0.6451 0.6301
Br 0.0008 0.3549 0.1301
Cd 0.6667 0.3333 0.2500
Dy 0.6667 0.3333 0.7500
Br 0.3541 0.3549 0.3699